Entry 1:
20
Lattice="6.331 0.000 -0.117 0.000 6.518 0.000 -0.112 0.000 9.163" Properties=species:S:1:pos:R:3 comment="K2SmAgF6 | Alexandria via LeMat-Bulk | PBE | optimized geometry" dos_at_fermi_per_ev_atom=0.000 magmom_total_mub_per_cell=0.1 dft_energy_ev_per_cell=-100.7 volume_a3_per_cell=378 spacegroup="No. 14" pbc="T T T"
K 0.106 6.194 2.225
K 3.216 3.583 6.748
K 6.114 0.324 6.821
K 3.004 2.935 2.298
Sm 3.166 0.000 -0.059
Sm -0.056 3.259 4.581
Ag 3.110 0.000 4.523
Ag 0.000 3.259 0.000
F 1.960 4.734 0.627
F 5.070 5.042 5.150
F 4.260 1.783 8.419
F 1.150 1.475 3.896
F 1.747 4.535 4.110
F 4.857 5.242 8.632
F 4.472 1.983 4.936
F 1.362 1.276 0.413
F 5.567 3.636 2.361
F 2.345 6.140 7.001
F 0.653 2.881 6.685
F 3.874 0.378 2.045

---

Entry 2:
5
Lattice="-1.503 -2.575 -2.710 3.602 -0.216 -1.793 0.984 -3.040 2.343" Properties=species:S:1:pos:R:3 comment="Ta2NiHPt | Alexandria via LeMat-Bulk | PBE | optimized geometry" de_polymorph_mev_per_atom=0.0 dos_at_fermi_per_ev_atom=0.863 magmom_total_mub_per_cell=0.0 dft_energy_ev_per_cell=-40.5 volume_a3_per_cell=64 spacegroup="No. 123" pbc="T T T"
Ni 0.492 -1.520 1.172
H 0.000 0.000 0.000
Pt 1.541 -2.916 -1.080
Ta 1.801 -0.108 -0.896
Ta -0.752 -1.288 -1.355